# Mn3O2F4, optimized geometry, DFT PBE with a Hubbard U
data_Mn3O2F4
_chemical_formula_sum 'Mn6 O4 F8'
_cell_length_a 4.7960
_cell_length_b 5.7812
_cell_length_c 7.9711
_cell_angle_alpha 86.57
_cell_angle_beta 89.70
_cell_angle_gamma 88.74
_space_group_name_H-M_alt 'P -1'
_space_group_IT_number 2
_space_group_name_Hall '-P 1'
loop_
_atom_site_label
_atom_site_type_symbol
_atom_site_fract_x
_atom_site_fract_y
_atom_site_fract_z
Mn1 Mn 0.0000 0.0000 0.0000
Mn2 Mn 0.0048 0.3338 0.6500
Mn3 Mn 0.4585 0.1797 0.3238
Mn4 Mn 0.5000 0.5000 0.0000
O1 O 0.1855 0.3750 0.4297
O2 O 0.3132 0.2245 0.0966
F1 F 0.2027 0.7127 0.1266
F2 F 0.2061 0.0351 0.7512
F3 F 0.2913 0.5259 0.7846
F4 F 0.3208 0.8620 0.4510
# Energy: -6.605 eV/atom
# Energy above the lowest structure with this stoichiometry: 19 meV/atom
# Calculated volume: 220.6 Å³ per cell